No. 1
Below is crystalline LaPmCo at its relaxed geometry, with properties calculated at the PBE level.

Crystal system: triclinic
Relative energy among the computed polymorphs (meV per atom): 23.6
DFT formation energy (eV per atom): -0.060

Geometry as POSCAR:
```
LaPmCo
1.0
5.210 0.000 0.000
-0.006 5.718 0.000
-2.597 -2.416 5.623
La Pm Co
2 2 2
Cartesian
0.003 1.710 1.465
2.604 1.592 4.158
0.004 -1.367 4.185
2.603 4.669 1.438
0.001 1.391 4.506
2.606 1.911 1.117
```

---

No. 2
Below is crystalline CsMgV2Cl8 at its relaxed geometry, with properties calculated at the PBE level.

Crystal system: trigonal
Energy relative to the elements, uncorrected (eV per atom): -1.382

Geometry as POSCAR:
```
CsMgV2Cl8
1.0
6.568 0.000 0.000
-3.284 5.688 0.000
0.000 0.000 9.676
Cs Mg V Cl
1 1 2 8
Cartesian
0.000 0.000 0.000
0.000 0.000 4.838
0.000 3.792 6.863
3.284 1.896 2.813
-1.016 1.766 6.339
-1.246 5.685 6.339
1.022 1.763 3.337
0.000 3.792 9.119
3.284 1.896 0.557
2.262 3.924 6.339
4.530 0.003 3.337
4.300 3.921 3.337
```

---

No. 3
Below is crystalline ReOs2Rh at its relaxed geometry, with properties calculated at the PBE level.

Crystal system: tetragonal
Relative energy among the computed polymorphs (meV per atom): 428.8
DFT formation energy (eV per atom): 0.467

Geometry as POSCAR:
```
ReOs2Rh
1.0
3.257 0.000 0.000
0.000 3.257 0.000
0.000 0.000 5.569
Re Os Rh
1 2 1
Cartesian
0.000 0.000 0.000
1.629 1.629 1.430
1.629 1.629 4.139
0.000 0.000 2.785
```

---

No. 4
Below is crystalline Be2MoHPb at its relaxed geometry, with properties calculated at the PBE level.

Crystal system: tetragonal
Final energy (eV/atom): -4.5176

Geometry as POSCAR:
```
Be2MoHPb
1.0
4.127 0.000 0.000
0.000 4.127 0.000
0.000 0.000 3.577
Be Mo H Pb
2 1 1 1
Cartesian
0.000 2.063 0.000
2.063 0.000 0.000
0.000 0.000 1.788
0.000 0.000 0.000
2.063 2.063 1.788
```

---

No. 5
Below is crystalline Th2ScIn at its relaxed geometry, with properties calculated at the PBE level.

Crystal system: tetragonal
Relative energy among the computed polymorphs (meV per atom): 122.6
DFT formation energy (eV per atom): -0.061

Geometry as POSCAR:
```
Th2ScIn
1.0
4.152 0.000 0.000
0.000 4.152 0.000
0.000 0.000 6.782
Th Sc In
2 1 1
Cartesian
0.000 0.000 1.635
0.000 0.000 5.147
2.076 2.076 3.391
2.076 2.076 0.000
```

---

no.,DOS(E_F) (states/eV per cell)
1,5.9
2,8.6
3,5.9
4,2.9
5,6.0